[1]
Sc2OsI2 | PBE | relaxed

```
Sc2OsI2
1.0
7.1688 0.0000 0.0000
0.0000 7.1688 0.0000
0.0000 0.0000 4.9965
I Sc Os
4 4 2
Cartesian
1.2185 4.8029 2.4983 I
5.9504 2.3660 2.4983 I
2.3660 1.2185 2.4983 I
4.8029 5.9504 2.4983 I
1.2687 2.3158 0.0000 Sc
2.3158 5.9002 0.0000 Sc
5.9002 4.8531 0.0000 Sc
4.8531 1.2687 0.0000 Sc
0.0000 0.0000 0.0000 Os
3.5844 3.5844 0.0000 Os
```

Symmetry: P4/mbm (127)
E_form (uncorrected): 0.167 eV/atom

[2]
Tl3Re2BiO9 | PBE | relaxed

```
Tl3Re2BiO9
1.0
-2.8917 -2.1379 4.6577
1.6759 -3.6105 -4.3339
6.3632 -1.1530 3.4213
O Tl Bi Re
9 3 1 2
Cartesian
2.3951 -3.2132 5.4166 O
-1.4458 -1.0689 2.3289 O
3.7077 -2.2427 3.3022 O
1.9916 -2.0492 0.2959 O
3.1559 -4.8522 3.4492 O
2.7524 -3.6882 -1.6714 O
1.4398 -4.6586 0.4429 O
0.8380 -1.8052 -2.1669 O
-0.6079 -2.8742 0.1619 O
4.3449 -3.8791 0.9169 Tl
0.8026 -3.0223 2.8282 Tl
0.0000 0.0000 0.0000 Tl
3.1816 -0.5765 1.7106 Bi
1.1064 -3.2923 -0.8243 Re
4.0411 -3.6091 4.5694 Re
```

Symmetry: P-3m1 (164)
E_form (uncorrected): -1.180 eV/atom

[3]
YAl3Ga3 | PBE | relaxed

```
YAl3Ga3
1.0
-4.7065 2.6812 4.3976
-4.7284 -4.6109 -2.2493
2.0419 -4.4976 4.9275
Y Al Ga
2 6 6
Cartesian
0.0000 0.0000 0.0000 Y
-3.6965 -3.2137 3.5379 Y
-3.5353 0.1878 1.6365 Al
-0.8328 -5.6787 2.5710 Al
-1.8537 -3.4299 0.1072 Al
-5.8996 -2.1176 0.5118 Al
-0.1557 -1.5785 3.5631 Al
-2.5089 -0.2380 5.7619 Al
-0.8218 -2.0327 5.8944 Ga
-2.5254 -5.7070 0.7767 Ga
-3.5408 -1.6352 -0.0253 Ga
-0.1612 -3.4016 1.9014 Ga
-5.8941 -0.2946 2.1735 Ga
-1.8428 0.2162 3.4307 Ga
```

Formation enthalpy at 0 K: 1.870 eV/f.u.
Symmetry: Pm-3n (223)

[4]
AlHgSeBr | PBE | relaxed

```
AlHgSeBr
1.0
-3.1122 1.6501 -1.5242
-0.2868 -1.9776 3.2772
3.1823 9.7699 4.0789
Se Hg Al Br
1 1 1 1
Cartesian
-1.3761 5.7098 4.1585 Se
1.4703 8.2834 5.9654 Hg
-0.3534 5.5632 1.9115 Al
-0.7756 3.6887 0.7444 Br
```

Symmetry: Cm (8)
E_form (uncorrected): -0.707 eV/atom

[5]
Pr8P3PtCl4 | PBE | relaxed

```
Pr8P3PtCl4
1.0
-3.7996 -4.9257 5.6538
7.0499 -0.0373 4.7052
-3.4915 7.3176 -2.2205
Pt Pr P Cl
1 8 3 4
Cartesian
3.5249 -0.0187 2.3526 Pt
-0.8267 2.5166 1.6369 Pr
-2.7264 0.0303 4.4435 Pr
-1.1345 3.5118 5.3996 Pr
-0.9931 -3.6025 5.5458 Pr
2.4852 2.3243 3.6951 Pr
0.5854 -0.1619 6.5016 Pr
0.8933 -1.1572 2.7390 Pr
0.7518 5.9572 2.5927 Pr
1.7792 3.6402 1.2424 P
1.6252 -2.4815 5.1795 P
-0.1206 1.1773 4.0693 P
0.0000 0.0000 0.0000 Cl
-1.8998 -2.4628 2.8269 Cl
-3.6455 1.1960 1.7167 Cl
-1.7458 3.6588 -1.1102 Cl
```

Symmetry: R-3m (166)
E_form (uncorrected): -1.511 eV/atom

[6]
MnCu6Sn | PBE | relaxed

```
MnCu6Sn
1.0
-0.2128 -3.8954 -1.4800
2.8544 -1.6978 4.0585
-5.0562 -0.2443 1.3699
Cu Mn Sn
6 1 1
Cartesian
-0.5100 -3.5531 3.5435 Cu
0.4399 -2.7152 1.2016 Cu
-0.4146 -1.0972 2.9474 Cu
-2.9377 -1.3206 3.8983 Cu
2.1209 -3.5303 3.1053 Cu
-1.6484 -0.1834 0.7196 Cu
-4.0899 -0.4218 1.6983 Mn
-2.1952 -2.7372 1.6384 Sn
```

Formation enthalpy at 0 K: 0.630 eV/f.u.
Symmetry: Amm2 (38)